No. 1
# HfTaRh2 (GGA-PBEsol, relaxed)
# E_form   -0.526 eV per atom
data_HfTaRh2
_chemical_formula_sum 'Hf1 Ta1 Rh2'
_symmetry_space_group_name_H-M 'P 1'
_symmetry_Int_Tables_number 1
_cell_length_a 4.5092
_cell_length_b 4.5092
_cell_length_c 4.5092
_cell_angle_alpha 60.00
_cell_angle_beta 60.00
_cell_angle_gamma 60.00
loop_
_symmetry_equiv_pos_as_xyz
'x,y,z'
loop_
_atom_site_label
_atom_site_type_symbol
_atom_site_fract_x
_atom_site_fract_y
_atom_site_fract_z
Rh1 Rh 0.7500 0.7500 0.7500
Rh2 Rh 0.2500 0.2500 0.2500
Hf1 Hf 0.0000 0.0000 0.0000
Ta1 Ta 0.5000 0.5000 0.5000

---

No. 2
# CoRuCl2 (GGA-PBEsol, relaxed)
# E above lowest polymorph   10.7 kJ/mol of atoms
data_CoRuCl2
_chemical_formula_sum 'Co1 Ru1 Cl2'
_symmetry_space_group_name_H-M 'P 1'
_symmetry_Int_Tables_number 1
_cell_length_a 3.0711
_cell_length_b 4.7859
_cell_length_c 4.7859
_cell_angle_alpha 105.64
_cell_angle_beta 106.06
_cell_angle_gamma 106.06
loop_
_symmetry_equiv_pos_as_xyz
'x,y,z'
loop_
_atom_site_label
_atom_site_type_symbol
_atom_site_fract_x
_atom_site_fract_y
_atom_site_fract_z
Cl1 Cl 0.0000 0.5000 0.0000
Cl2 Cl 0.0000 0.0000 0.5000
Ru1 Ru 0.0000 0.0000 0.0000
Co1 Co 0.0000 0.5000 0.5000

---

No. 3
# ScCu2Re (GGA-PBEsol, relaxed)
# E above lowest polymorph   0.0 kJ/mol of atoms
# E_form   0.103 eV per atom
data_ScCu2Re
_chemical_formula_sum 'Sc1 Cu2 Re1'
_symmetry_space_group_name_H-M 'P 1'
_symmetry_Int_Tables_number 1
_cell_length_a 2.6632
_cell_length_b 4.2123
_cell_length_c 5.1981
_cell_angle_alpha 90.00
_cell_angle_beta 105.00
_cell_angle_gamma 90.00
loop_
_symmetry_equiv_pos_as_xyz
'x,y,z'
loop_
_atom_site_label
_atom_site_type_symbol
_atom_site_fract_x
_atom_site_fract_y
_atom_site_fract_z
Sc1 Sc 0.1998 0.5000 0.7758
Cu1 Cu 0.9437 0.5000 0.2615
Cu2 Cu 0.8134 0.0000 0.0029
Re1 Re 0.5430 0.0000 0.4598

---

Going through the records in order, we get VASP energy values of -10.359; -4.893; -7.048 eV per atom.